Record 1
KPt2Cl | PBE | relaxed

As for the space group: Pmmm, No. 47. Its uncorrected formation energy is 0.22 eV/atom. The calculation puts the total energy at -14.1 eV per cell.

Cell: 2.689 5.341 6.382 Å, 90.00 90.00 90.00°
Atoms (fractional coordinates):
K 0.000 0.000 0.000
Pt 0.500 0.248 0.500
Pt 0.500 0.752 0.500
Cl 0.000 0.500 0.000

Record 2
KPtCl | PBE | relaxed

As for the space group: F-43m, No. 216. Its uncorrected formation energy is 0.44 eV/atom. The calculation puts the total energy at -7.7 eV per cell.

Cell: 5.035 5.035 5.035 Å, 60.00 60.00 60.00°
Atoms (fractional coordinates):
K 0.000 0.000 0.000
Pt 0.250 0.250 0.250
Cl 0.750 0.750 0.750

Record 3
KPt2Cl | PBE | relaxed

As for the space group: C2/m, No. 12. Its uncorrected formation energy is -0.08 eV/atom. The calculation puts the total energy at -15.4 eV per cell.

Cell: 7.590 7.590 2.768 Å, 100.52 100.52 137.59°
Atoms (fractional coordinates):
K 0.000 0.000 0.000
Pt 0.000 0.500 0.000
Pt 0.500 0.000 0.000
Cl 0.500 0.500 0.000

Record 4
KPt2Cl | PBE | relaxed

As for the space group: Cmmm, No. 65. Its uncorrected formation energy is 0.51 eV/atom. The calculation puts the total energy at -13.0 eV per cell.

Cell: 3.012 3.012 9.950 Å, 90.00 90.00 121.30°
Atoms (fractional coordinates):
K 0.000 0.000 0.000
Pt 0.500 0.500 0.280
Pt 0.500 0.500 0.720
Cl 0.000 0.000 0.500

Record 5
KPtCl | PBE | relaxed

As for the space group: Imma, No. 74. Its uncorrected formation energy is -0.26 eV/atom. The calculation puts the total energy at -19.5 eV per cell.

Cell: 6.369 6.369 6.369 Å, 125.89 76.41 130.45°
Atoms (fractional coordinates):
K 0.000 0.000 0.000
K 0.500 0.000 0.500
Pt 0.377 0.627 0.750
Pt 0.623 0.373 0.250
Cl 0.000 0.000 0.500
Cl 0.000 0.500 0.000

Record 6
KPt2Cl | PBE | relaxed

As for the space group: R-3m, No. 166. Its uncorrected formation energy is 0.49 eV/atom. The calculation puts the total energy at -13.1 eV per cell.

Cell: 10.091 10.091 10.091 Å, 16.90 16.90 16.90°
Atoms (fractional coordinates):
K 0.000 0.000 0.000
Pt 0.241 0.241 0.241
Pt 0.759 0.759 0.759
Cl 0.500 0.500 0.500

Record 7
KPt2Cl | PBE | relaxed

As for the space group: Fm-3m, No. 225. Its uncorrected formation energy is 0.86 eV/atom. The calculation puts the total energy at -11.6 eV per cell.

Cell: 4.886 4.886 4.886 Å, 60.00 60.00 60.00°
Atoms (fractional coordinates):
K 0.000 0.000 0.000
Pt 0.250 0.250 0.250
Pt 0.750 0.750 0.750
Cl 0.500 0.500 0.500

Record 8
KPt2Cl | PBE | relaxed

As for the space group: Cmmm, No. 65. Its uncorrected formation energy is 0.24 eV/atom. The calculation puts the total energy at -14.1 eV per cell.

Cell: 7.076 7.076 2.688 Å, 90.00 90.00 135.78°
Atoms (fractional coordinates):
K 0.000 0.000 0.000
Pt 0.000 0.500 0.500
Pt 0.500 0.000 0.500
Cl 0.500 0.500 0.000

Record 9
K2PtCl | PBE | relaxed

As for the space group: F-43m, No. 216. Its uncorrected formation energy is -0.19 eV/atom. The calculation puts the total energy at -10.8 eV per cell.

Cell: 5.349 5.349 5.349 Å, 60.00 60.00 60.00°
Atoms (fractional coordinates):
K 0.000 0.000 0.000
K 0.250 0.250 0.250
Pt 0.750 0.750 0.750
Cl 0.500 0.500 0.500

Record 10
KPt2Cl | PBE | relaxed

As for the space group: Imm2, No. 44. Its uncorrected formation energy is -0.08 eV/atom. The calculation puts the total energy at -15.3 eV per cell.

Cell: 5.942 5.942 5.942 Å, 144.01 120.19 71.82°
Atoms (fractional coordinates):
K 0.000 0.000 0.000
Pt 0.359 0.859 0.500
Pt 0.535 0.535 0.000
Cl 0.698 0.198 0.500

Record 11
KPtCl | PBE | relaxed

As for the space group: Fmm2, No. 42. Its uncorrected formation energy is 0.01 eV/atom. The calculation puts the total energy at -8.9 eV per cell.

Cell: 6.852 6.848 3.202 Å, 76.54 76.43 27.03°
Atoms (fractional coordinates):
K 0.000 0.000 0.000
Pt 0.695 0.695 0.305
Cl 0.338 0.338 0.662

Record 12
KPtCl | PBE | relaxed

As for the space group: F-43m, No. 216. Its uncorrected formation energy is 0.17 eV/atom. The calculation puts the total energy at -8.5 eV per cell.

Cell: 4.811 4.811 4.811 Å, 60.00 60.00 60.00°
Atoms (fractional coordinates):
K 0.000 0.000 0.000
Pt 0.750 0.750 0.750
Cl 0.500 0.500 0.500

Record 13
K2PtCl | PBE | relaxed

As for the space group: C2/m, No. 12. Its uncorrected formation energy is -0.57 eV/atom. The calculation puts the total energy at -12.4 eV per cell.

Cell: 4.006 4.006 9.171 Å, 98.69 98.69 51.29°
Atoms (fractional coordinates):
K 0.242 0.242 0.230
K 0.758 0.758 0.770
Pt 0.000 0.000 0.500
Cl 0.500 0.500 0.000

Record 14
KPt4Cl | PBE | relaxed

As for the space group: F-43m, No. 216. Its uncorrected formation energy is 0.23 eV/atom. The calculation puts the total energy at -25.7 eV per cell.

Cell: 5.473 5.473 5.473 Å, 60.00 60.00 60.00°
Atoms (fractional coordinates):
K 0.000 0.000 0.000
Pt 0.124 0.625 0.625
Pt 0.625 0.124 0.625
Pt 0.625 0.625 0.124
Pt 0.625 0.625 0.625
Cl 0.250 0.250 0.250

Record 15
K2PtCl | PBE | relaxed

As for the space group: I4/mmm, No. 139. Its uncorrected formation energy is -0.43 eV/atom. The calculation puts the total energy at -11.8 eV per cell.

Cell: 5.184 5.184 5.184 Å, 110.53 110.53 107.37°
Atoms (fractional coordinates):
K 0.250 0.750 0.500
K 0.750 0.250 0.500
Pt 0.000 0.000 0.000
Cl 0.500 0.500 0.000

Record 16
KPtCl | PBE | relaxed

As for the space group: P1, No. 1. Its uncorrected formation energy is -0.76 eV/atom. The calculation puts the total energy at -22.5 eV per cell.

Cell: 3.752 5.890 7.691 Å, 105.26 91.17 103.62°
Atoms (fractional coordinates):
K 0.000 0.000 0.000
K 0.473 0.720 0.481
Pt 0.120 0.239 0.584
Pt 0.680 0.374 0.815
Cl 0.263 0.547 0.032
Cl 0.597 0.179 0.353

Record 17
KPtCl | PBE | relaxed

As for the space group: P6_3/mmc, No. 194. Its uncorrected formation energy is -0.36 eV/atom. The calculation puts the total energy at -20.1 eV per cell.

Cell: 5.344 5.344 9.090 Å, 90.00 90.00 120.00°
Atoms (fractional coordinates):
K 0.333 0.667 0.250
K 0.667 0.333 0.750
Pt 0.000 0.000 0.000
Pt 0.000 0.000 0.500
Cl 0.000 0.000 0.250
Cl 0.000 0.000 0.750

Record 18
KPtCl | PBE | relaxed

As for the space group: F-43m, No. 216. Its uncorrected formation energy is 0.12 eV/atom. The calculation puts the total energy at -8.6 eV per cell.

Cell: 4.798 4.798 4.798 Å, 60.00 60.00 60.00°
Atoms (fractional coordinates):
K 0.000 0.000 0.000
Pt 0.500 0.500 0.500
Cl 0.250 0.250 0.250

Record 19
KPt2Cl | PBE | relaxed

As for the space group: Cm, No. 8. Its uncorrected formation energy is -0.14 eV/atom. The calculation puts the total energy at -15.6 eV per cell.

Cell: 4.727 4.727 8.308 Å, 105.24 105.24 34.79°
Atoms (fractional coordinates):
K 0.000 0.000 0.000
Pt 0.559 0.559 0.396
Pt 0.809 0.809 0.328
Cl 0.218 0.218 0.792

Record 20
KPtCl | PBE | relaxed

As for the space group: C2/m, No. 12. Its uncorrected formation energy is -0.79 eV/atom. The calculation puts the total energy at -22.7 eV per cell.

Cell: 6.182 6.182 7.181 Å, 97.87 97.87 35.17°
Atoms (fractional coordinates):
K 0.094 0.094 0.286
K 0.906 0.906 0.714
Pt 0.208 0.208 0.889
Pt 0.792 0.792 0.111
Cl 0.373 0.373 0.326
Cl 0.627 0.627 0.674

Record 21
KPt2Cl8 | PBE | relaxed

As for the space group: C2/m, No. 12. Its uncorrected formation energy is -0.42 eV/atom. The calculation puts the total energy at -32.5 eV per cell.

Cell: 6.835 6.835 9.125 Å, 117.27 117.27 62.42°
Atoms (fractional coordinates):
K 0.000 0.000 0.000
Pt 0.144 0.144 0.623
Pt 0.856 0.856 0.377
Cl 0.125 0.682 0.236
Cl 0.214 0.214 0.435
Cl 0.318 0.875 0.764
Cl 0.380 0.380 0.845
Cl 0.620 0.620 0.155
Cl 0.682 0.125 0.236
Cl 0.786 0.786 0.565
Cl 0.875 0.318 0.764

Record 22
KPtCl3 | PBE | relaxed

As for the space group: Pm-3m, No. 221. Its uncorrected formation energy is 0.52 eV/atom. The calculation puts the total energy at -10.1 eV per cell.

Cell: 5.660 5.660 5.660 Å, 90.00 90.00 90.00°
Atoms (fractional coordinates):
K 0.000 0.000 0.000
Pt 0.500 0.500 0.500
Cl 0.000 0.000 0.500
Cl 0.000 0.500 0.000
Cl 0.500 0.000 0.000

Record 23
KPt2Cl | PBE | relaxed

As for the space group: Pmmm, No. 47. Its uncorrected formation energy is -0.08 eV/atom. The calculation puts the total energy at -15.4 eV per cell.

Cell: 2.770 4.737 7.079 Å, 90.00 90.00 90.00°
Atoms (fractional coordinates):
K 0.000 0.000 0.000
Pt 0.000 0.500 0.500
Pt 0.500 0.000 0.500
Cl 0.500 0.500 0.000

Record 24
KPtCl | PBE | relaxed

As for the space group: P-6m2, No. 187. Its uncorrected formation energy is -0.31 eV/atom. The calculation puts the total energy at -9.9 eV per cell.

Cell: 4.318 4.318 4.694 Å, 90.00 90.00 120.00°
Atoms (fractional coordinates):
K 0.000 0.000 0.000
Pt 0.667 0.333 0.500
Cl 0.333 0.667 0.500

Record 25
KPt2Cl8 | PBE | relaxed

As for the space group: P-1, No. 2. Its uncorrected formation energy is -0.59 eV/atom. The calculation puts the total energy at -34.4 eV per cell.

Cell: 5.352 7.726 7.763 Å, 88.15 79.72 79.98°
Atoms (fractional coordinates):
K 0.000 0.000 0.000
Pt 0.297 0.384 0.384
Pt 0.703 0.616 0.616
Cl 0.207 0.603 0.603
Cl 0.289 0.171 0.598
Cl 0.292 0.600 0.173
Cl 0.400 0.169 0.169
Cl 0.600 0.831 0.831
Cl 0.708 0.400 0.827
Cl 0.711 0.829 0.402
Cl 0.793 0.397 0.397

Record 26
K2PtCl | PBE | relaxed

As for the space group: Imm2, No. 44. Its uncorrected formation energy is -0.58 eV/atom. The calculation puts the total energy at -12.4 eV per cell.

Cell: 9.437 9.437 9.437 Å, 158.52 158.01 30.93°
Atoms (fractional coordinates):
K 0.000 0.000 0.000
K 0.731 0.231 0.500
Pt 0.350 0.850 0.500
Cl 0.595 0.595 0.000

Record 27
K2PtCl | PBE | relaxed

As for the space group: I-4m2, No. 119. Its uncorrected formation energy is -0.36 eV/atom. The calculation puts the total energy at -11.5 eV per cell.

Cell: 7.190 7.190 7.190 Å, 143.57 143.57 52.47°
Atoms (fractional coordinates):
K 0.000 0.000 0.000
K 0.750 0.250 0.500
Pt 0.250 0.750 0.500
Cl 0.500 0.500 0.000

Record 28
KPt2Cl | PBE | relaxed

As for the space group: Amm2, No. 38. Its uncorrected formation energy is -0.29 eV/atom. The calculation puts the total energy at -16.2 eV per cell.

Cell: 3.495 7.666 7.666 Å, 26.29 90.00 90.00°
Atoms (fractional coordinates):
K 0.000 0.000 0.000
Pt 0.000 0.232 0.232
Pt 0.500 0.676 0.676
Cl 0.500 0.381 0.381

Record 29
KPtCl | PBE | relaxed

As for the space group: P1, No. 1. Its uncorrected formation energy is -0.81 eV/atom. The calculation puts the total energy at -22.8 eV per cell.

Cell: 3.587 3.591 11.508 Å, 84.63 81.20 89.97°
Atoms (fractional coordinates):
K 0.000 0.000 0.000
K 0.168 0.101 0.657
Pt 0.388 0.458 0.234
Pt 0.857 0.951 0.297
Cl 0.579 0.547 0.838
Cl 0.744 0.648 0.503

| no. | total magnetization (Bohr magnetons per cell) |
| --- | --- |
| 1 | 0.11 |
| 2 | 0.45 |
| 3 | 0.11 |
| 4 | 0.00 |
| 5 | 0.00 |
| 6 | 0.57 |
| 7 | 0.50 |
| 8 | 0.25 |
| 9 | 0.35 |
| 10 | 0.00 |
| 11 | 0.00 |
| 12 | 0.00 |
| 13 | 0.00 |
| 14 | 0.02 |
| 15 | 0.14 |
| 16 | 0.00 |
| 17 | 0.00 |
| 18 | 0.00 |
| 19 | 0.10 |
| 20 | 0.00 |
| 21 | 0.00 |
| 22 | 2.00 |
| 23 | 0.11 |
| 24 | 0.00 |
| 25 | 0.00 |
| 26 | 0.00 |
| 27 | 1.03 |
| 28 | 0.00 |
| 29 | 0.00 |